No. 1
The following is a DFT calculation (PBE) of MnCCl2 after structural relaxation.

```
MnCCl2
1.0
1.968 0.000 7.566
-0.984 1.704 7.566
-0.984 -1.704 7.566
Mn Cl C
1 2 1
direct
0.000 0.000 0.000 Mn
0.097 0.097 0.097 Cl
0.903 0.903 0.903 Cl
0.500 0.500 0.500 C
```

DOS(E_F): 4.7 states/eV per cell
Space-group type: R-3m, No. 166
Energy relative to the lowest polymorph listed for this composition: 347.0 meV/atom

=====

No. 2
The following is a DFT calculation (PBE) of MnC3Cl after structural relaxation.

```
MnC3Cl
1.0
3.591 0.000 0.000
0.000 3.591 0.000
0.000 0.000 3.591
C Mn Cl
3 1 1
direct
0.500 0.000 0.000 C
0.000 0.000 0.500 C
0.000 0.500 0.000 C
0.500 0.500 0.500 Mn
0.000 0.000 0.000 Cl
```

DOS(E_F): 8.6 states/eV per cell
Space-group type: Pm-3m, No. 221
Energy relative to the lowest polymorph listed for this composition: 1585.4 meV/atom

=====

No. 3
The following is a DFT calculation (PBE) of MnCCl2 after structural relaxation.

```
MnCCl2
1.0
-2.993 -1.948 -2.196
-4.038 0.710 0.872
-2.375 2.169 -2.689
Mn Cl C
1 2 1
direct
0.500 0.500 0.500 Mn
0.250 0.250 0.250 Cl
0.750 0.750 0.750 Cl
0.000 0.000 0.000 C
```

DOS(E_F): 4.3 states/eV per cell
Space-group type: Fm-3m, No. 225
Energy relative to the lowest polymorph listed for this composition: 716.1 meV/atom

=====

No. 4
The following is a DFT calculation (PBE) of Mn2CCl after structural relaxation.

```
Mn2CCl
1.0
5.317 0.000 0.000
0.000 5.317 0.000
2.658 2.658 4.450
Cl C Mn
2 2 4
direct
0.750 0.250 0.500 Cl
0.000 0.000 0.000 Cl
0.500 0.500 0.000 C
0.250 0.750 0.500 C
0.875 0.787 0.750 Mn
0.375 0.463 0.750 Mn
0.213 0.625 0.250 Mn
0.537 0.125 0.250 Mn
```

Total DFT energy (no corrections): -57.06 eV/cell
DOS(E_F): 3.0 states/eV per cell
Space-group type: I-42d, No. 122

=====

No. 5
The following is a DFT calculation (PBE) of MnCCl2 after structural relaxation.

```
MnCCl2
1.0
-3.313 6.973 1.743
-2.498 5.725 4.860
-0.102 7.337 2.965
Mn C Cl
1 1 2
direct
0.500 0.500 0.500 Mn
0.000 0.000 0.000 C
0.900 0.900 0.900 Cl
0.100 0.100 0.100 Cl
```

DOS(E_F): 2.6 states/eV per cell
Space-group type: R-3m, No. 166
Energy relative to the lowest polymorph listed for this composition: 0.0 meV/atom

=====

No. 6
The following is a DFT calculation (PBE) of Mn3CCl after structural relaxation.

```
Mn3CCl
1.0
4.046 0.000 0.000
0.000 4.046 0.000
0.000 0.000 4.046
Mn Cl C
3 1 1
direct
0.500 0.000 0.000 Mn
0.000 0.000 0.500 Mn
0.000 0.500 0.000 Mn
0.500 0.500 0.500 Cl
0.000 0.000 0.000 C
```

DOS(E_F): 5.9 states/eV per cell
Space-group type: Pm-3m, No. 221
Energy relative to the lowest polymorph listed for this composition: 0.0 meV/atom

=====

No. 7
The following is a DFT calculation (PBE) of MnPCCl2 after structural relaxation.

```
MnPCCl2
1.0
4.338 0.000 0.000
0.000 4.338 0.000
0.000 0.000 4.079
Cl C Mn P
2 1 1 1
direct
0.000 0.500 0.000 Cl
0.500 0.000 0.000 Cl
0.000 0.000 0.000 C
0.500 0.500 0.500 Mn
0.000 0.000 0.500 P
```

DOS(E_F): 5.3 states/eV per cell
Space-group type: P4/mmm, No. 123
Energy relative to the lowest polymorph listed for this composition: 329.5 meV/atom

=====

No. 8
The following is a DFT calculation (PBE) of MnPCCl2 after structural relaxation.

```
MnPCCl2
1.0
4.655 0.000 0.000
0.000 4.655 0.000
0.000 0.000 4.770
Mn C Cl P
1 1 2 1
direct
0.000 0.000 0.000 Mn
0.500 0.500 0.500 C
0.000 0.500 0.000 Cl
0.500 0.000 0.000 Cl
0.000 0.000 0.500 P
```

DOS(E_F): 2.0 states/eV per cell
Space-group type: P4/mmm, No. 123
Energy relative to the lowest polymorph listed for this composition: 0.0 meV/atom

=====

No. 9
The following is a DFT calculation (PBE) of Rb2MnCCl6 after structural relaxation.

```
Rb2MnCCl6
1.0
7.142 0.000 0.000
0.000 7.142 0.000
3.571 3.571 4.547
Rb C Cl Mn
2 1 6 1
direct
0.250 0.750 0.500 Rb
0.750 0.250 0.500 Rb
0.500 0.500 0.000 C
0.251 0.251 0.000 Cl
0.749 0.749 0.000 Cl
0.251 0.749 0.000 Cl
0.743 0.743 0.514 Cl
0.257 0.257 0.486 Cl
0.749 0.251 0.000 Cl
0.000 0.000 0.000 Mn
```

Total DFT energy (no corrections): -38.04 eV/cell
DOS(E_F): 0.0 states/eV per cell
Space-group type: I4/mmm, No. 139

=====

No. 10
The following is a DFT calculation (PBE) of MnTeCCl2 after structural relaxation.

```
MnTeCCl2
1.0
4.480 0.000 0.000
0.000 4.885 0.000
0.000 0.000 4.480
Cl C Te Mn
2 1 1 1
direct
0.500 0.000 0.000 Cl
0.000 0.000 0.500 Cl
0.000 0.000 0.000 C
0.000 0.500 0.000 Te
0.500 0.500 0.500 Mn
```

Total DFT energy (no corrections): -20.78 eV/cell
DOS(E_F): 0.9 states/eV per cell
Space-group type: P4/mmm, No. 123

=====

No. 11
The following is a DFT calculation (PBE) of Mo2CCl after structural relaxation.

```
Mo2CCl
1.0
-2.670 4.523 -0.326
-1.892 -1.454 -4.690
-6.041 -0.530 -0.351
C Mo Cl
2 4 2
direct
0.500 0.500 0.000 C
0.250 0.750 0.500 C
0.375 0.449 0.750 Mo
0.875 0.801 0.750 Mo
0.551 0.125 0.250 Mo
0.199 0.625 0.250 Mo
0.000 0.000 0.000 Cl
0.750 0.250 0.500 Cl
```

DOS(E_F): 11.0 states/eV per cell
Space-group type: I-42d, No. 122
Energy relative to the lowest polymorph listed for this composition: 0.0 meV/atom

=====

No. 12
The following is a DFT calculation (PBE) of MoC3Cl after structural relaxation.

```
MoC3Cl
1.0
-0.151 1.744 -3.781
-2.266 -3.208 -1.390
-3.493 2.006 1.064
Mo C Cl
1 3 1
direct
0.000 0.000 0.000 Mo
0.500 0.000 0.000 C
0.000 0.500 0.000 C
0.000 0.000 0.500 C
0.500 0.500 0.500 Cl
```

DOS(E_F): 4.2 states/eV per cell
Space-group type: Pm-3m, No. 221
Energy relative to the lowest polymorph listed for this composition: 0.0 meV/atom

=====

> Which of these has the highest DOS(E_F)?

Mo2CCl

=====

> The lowest DOS(E_F) belongs to which entry?

Rb2MnCCl6